DFT (PBE) results for a relaxed TiGe2Rh4 crystal.

As for the density of states at the Fermi level: 11.7 states/eV per cell. Its formation enthalpy at 0 K is 334 meV per atom. The electronic total energy is -6.3140 eV/atom. Its size of the total moment is 0.0000 μB per atom.

The structure belongs to space group I4/mmm (No. 139); the cell edges are 4.5900, 4.5900 and 12.2283 Å and the angles 90.00°, 90.00° and 90.00°. Symmetry generates all atoms from Ti at (0.0000, 0.0000, 0.0000), Ge at (0.0000, 0.0000, 0.3863), Rh at (0.0000, 0.0000, 0.1909) and Rh at (0.0000, 0.5000, 0.0000).